1.
The following is a PBE-GGA calculation of a geometry-optimized K2ZnO structure, from the Alexandria database.

a = 5.133 Å, b = 5.133 Å, c = 5.133 Å
α = 60.00°, β = 60.00°, γ = 60.00°
Positions (direct):
K 0.250 0.250 0.250
K 0.750 0.750 0.750
Zn 0.000 0.000 0.000
O 0.500 0.500 0.500

Output
The calculation puts the energy above the lowest structure with this stoichiometry at 0.1280 eV/atom. The space-group type is No. 225.

2.
The following is a PBE-GGA calculation of a geometry-optimized K3ZnO3 structure, from the Alexandria database.

a = 7.796 Å, b = 7.796 Å, c = 5.622 Å
α = 90.00°, β = 90.00°, γ = 120.00°
Positions (direct):
K 0.087 0.358 0.250
K 0.271 0.913 0.250
K 0.358 0.271 0.750
K 0.642 0.729 0.250
K 0.729 0.087 0.750
K 0.913 0.642 0.750
Zn 0.333 0.667 0.750
Zn 0.667 0.333 0.250
O 0.109 0.414 0.750
O 0.305 0.891 0.750
O 0.414 0.305 0.250
O 0.586 0.695 0.750
O 0.695 0.109 0.250
O 0.891 0.586 0.250

Output
The value obtained for the calculated total energy is -55.07 eV for the cell shown. The space-group type is No. 176.

3.
The following is a PBE-GGA calculation of a geometry-optimized KZnO structure, from the Alexandria database.

a = 6.432 Å, b = 6.432 Å, c = 4.087 Å
α = 100.56°, β = 100.56°, γ = 130.82°
Positions (direct):
K 0.208 0.792 0.000
K 0.792 0.208 0.000
Zn 0.254 0.254 0.538
Zn 0.746 0.746 0.462
O 0.376 0.624 0.500
O 0.624 0.376 0.500

Output
The calculation puts the energy above the lowest structure with this stoichiometry at 0.0867 eV/atom. The space-group type is No. 12.